# 1
Density functional theory data (PBE) for a relaxed Th2Cu3Sn crystal.

## Properties
Crystal system: orthorhombic
Formation enthalpy at 0 K: -6.5 kcal/mol of atoms
Mass density: 9.81 g/cm³

```
Th2Cu3Sn
1.0
5.837 -0.475 0.000
-0.701 5.814 0.000
-2.568 -2.670 7.788
Th Cu Sn
4 6 2
direct
0.250 0.750 0.500
0.770 0.770 0.000
0.750 0.250 0.500
0.230 0.230 0.000
0.325 0.836 0.161
0.164 0.675 0.839
0.675 0.164 0.839
0.836 0.325 0.161
0.163 0.163 0.325
0.837 0.837 0.675
0.664 0.664 0.328
0.336 0.336 0.672
```

# 2
Density functional theory data (PBE) for a relaxed Ba2ThPdS5 crystal.

## Properties
Crystal system: orthorhombic
Formation energy (no corrections): -154.9 kJ per mole of atoms
Mass density: 5.22 g/cm³

```
Ba2ThPdS5
1.0
4.397 0.000 0.000
-2.199 9.313 0.000
0.000 0.000 12.016
Ba Th Pd S
4 2 2 10
direct
0.891 0.781 0.828
0.108 0.215 0.694
0.109 0.219 0.328
0.892 0.785 0.194
0.797 0.593 0.496
0.203 0.407 0.996
0.575 0.150 0.976
0.425 0.850 0.476
0.347 0.695 0.017
0.713 0.426 0.844
0.510 0.019 0.807
0.331 0.661 0.633
0.951 0.903 0.529
0.653 0.305 0.517
0.287 0.574 0.344
0.490 0.981 0.307
0.669 0.339 0.133
0.049 0.097 0.029
```